Material: PmThTcPt
Method: DFT, PBE-GGA
State: optimized geometry

Values from the calculation:
* crystal system: cubic
* VASP energy: -30.44 eV/cell

Structure (extended XYZ):
```
4
Lattice="-1.3224 4.8615 0.3218 -2.1916 1.7471 4.1988 2.5358 3.1081 3.0652" Properties=species:S:1:pos:R:3 pbc="T T T"
Th 0.0000 0.0000 0.0000
Pt -0.7336 7.2875 5.6894
Pm -0.4891 4.8584 3.7929
Tc -0.2445 2.4292 1.8965
```